First-principles (PBE-GGA) data for an optimized crystal structure of Al2TeCl, as listed in Alexandria.

a = 3.6808 Å, b = 5.9203 Å, c = 9.6420 Å
α = 90.00°, β = 90.00°, γ = 90.00°
Last column: nearest neighbours and their distance in Å.
Space group Cmm2 (No. 35)
Symmetry-distinct sites (fractional):
Al 0.0000 0.0000 0.0000 x2  2 Te 2.68, 2 Al 2.69
Al 0.0000 0.5000 0.2029 x2  2 Cl 2.49, 2 Al 2.69
Te 0.0000 0.5000 0.7977 x2  2 Al 2.68
Cl 0.0000 0.0000 0.3771 x2  2 Al 2.49

V: 26.26 A^3/atom
Electronic total energy: -13.42 eV per formula unit